Compound: BAs2PBr
Source: the Alexandria database
Functional: GGA-PBEsol
Structure: optimized geometry

Properties
The value obtained for the density of states at the Fermi level is 3.11 states/eV/cell. Its uncorrected formation energy is 0.9576 eV per atom. Its energy above the most stable polymorph in this dataset is 0.00 eV per formula unit.

Cell lengths 4.4574, 4.4574, 4.3030 Å; angles 90.00, 90.00, 90.00 degrees
Last column: nearest neighbours and their distance in Å.
Space group P4/mmm (No. 123)
Unique sites:
B1 0.0000 0.0000 0.0000 x1  2 Br 2.15, 4 As 2.23
As1 0.0000 0.5000 0.0000 x2  2 B 2.23
P1 0.5000 0.5000 0.5000 x1  8 As 3.10, 4 Br 3.15
Br1 0.0000 0.0000 0.5000 x1  2 B 2.15